Material: RbICl3
Method: DFT, PBE
State: optimized geometry

```
10
Lattice="-4.151 4.151 5.956 4.151 -4.151 5.956 4.151 4.151 -5.956" Properties=species:S:1:pos:R:3 pbc="T T T"
Rb 4.151 0.000 2.978
Rb 0.000 4.151 2.978
I 0.000 0.000 0.000
I 0.000 0.000 5.956
Cl 0.000 0.000 2.558
Cl 2.341 2.341 0.000
Cl 1.810 -1.810 5.956
Cl -1.810 1.810 5.956
Cl 1.810 1.810 5.956
Cl 0.000 0.000 9.354
```

Summary:
* ΔE_f (raw): -414 kJ/mol of formula units
* uncorrected energy: -24.7 eV for the cell shown